[1]
A relaxed structure of CaTl2I, computed with GGA-PBE.

Values from the calculation:
Total DFT energy (no corrections) (eV per cell): -18.608
Excess energy over the best structure of this formula in the dataset (eV per atom): 0.000
Magnetic moment (μB/f.u.): 0.00
Density (g/cm³): 6.65
Symmetry: I-42d, No. 122

Cell and atoms, written as CIF:
```
data_CaTl2I
_chemical_formula_sum 'Ca2 Tl4 I2'
_space_group_name_H-M_alt 'P 1'
_space_group_IT_number 1
_cell_length_a 9.389
_cell_length_b 9.389
_cell_length_c 7.396
_cell_angle_alpha 50.60
_cell_angle_beta 50.60
_cell_angle_gamma 90.00
loop_
_space_group_symop_operation_xyz
'x,y,z'
loop_
_atom_site_label
_atom_site_type_symbol
_atom_site_fract_x
_atom_site_fract_y
_atom_site_fract_z
Tl1 Tl 0.375 0.384 0.750
Tl2 Tl 0.875 0.866 0.750
Tl3 Tl 0.616 0.125 0.250
Ca1 Ca 0.250 0.750 0.500
I1 I 0.000 0.000 0.000
Tl4 Tl 0.134 0.625 0.250
Ca2 Ca 0.500 0.500 0.000
I2 I 0.750 0.250 0.500
```


[2]
A relaxed structure of CaTlI2, computed with GGA-PBE.

Values from the calculation:
Total DFT energy (no corrections) (eV per cell): -10.201
Excess energy over the best structure of this formula in the dataset (eV per atom): 0.182
Magnetic moment (μB/f.u.): 0.00
Density (g/cm³): 4.12
Symmetry: R-3m, No. 166

Cell and atoms, written as CIF:
```
data_CaTlI2
_chemical_formula_sum 'Ca1 Tl1 I2'
_space_group_name_H-M_alt 'P 1'
_space_group_IT_number 1
_cell_length_a 4.739
_cell_length_b 4.739
_cell_length_c 10.676
_cell_angle_alpha 77.18
_cell_angle_beta 77.18
_cell_angle_gamma 60.00
loop_
_space_group_symop_operation_xyz
'x,y,z'
loop_
_atom_site_label
_atom_site_type_symbol
_atom_site_fract_x
_atom_site_fract_y
_atom_site_fract_z
I1 I 0.903 0.903 0.290
Tl1 Tl 0.500 0.500 0.500
Ca1 Ca 0.000 0.000 0.000
I2 I 0.097 0.097 0.710
```